# 1
DFT (PBE) results for Cu5Ni after structural relaxation.

Its theoretical density is 8896 kg/m³. Its density of states at the Fermi level is 4.730 states/eV/cell. For the distance to the lowest polymorph of the same formula, the calculation gives 0.0000 eV per atom. For the formation energy, the calculation gives -0.001 eV per atom.

It has space group Cmmm (No. 65), with a = 3.6144 Å, b = 10.6942 Å, c = 3.6356 Å, α = 90.00°, β = 90.00° and γ = 90.00°. The distinct sites, in fractional coordinates, are Cu at (0.0000, 0.0000, 0.0000), Cu at (0.0000, 0.1657, 0.5000), Cu at (0.0000, 0.3347, 0.0000) and Ni at (0.0000, 0.5000, 0.5000).

# 2
DFT (PBE) results for AlZnPt2 after structural relaxation.

Its theoretical density is 12300 kg/m³. Its density of states at the Fermi level is 5.238 states/eV/cell. For the formation energy, the calculation gives -0.438 eV per atom.

It has space group I-42d (No. 122), with a = 6.8362 Å, b = 6.8362 Å, c = 5.5762 Å, α = 90.00°, β = 90.00° and γ = 90.00°. The distinct sites, in fractional coordinates, are Al at (0.0000, 0.0000, 0.0000), Zn at (0.0000, 0.0000, 0.5000) and Pt at (0.2344, 0.2500, 0.1250).

# 3
DFT (PBE) results for Sm2TmPd after structural relaxation.

Its theoretical density is 8572 kg/m³. Its density of states at the Fermi level is 18.398 states/eV/cell. For the distance to the lowest polymorph of the same formula, the calculation gives 0.0000 eV per atom. For the formation energy, the calculation gives -0.423 eV per atom.

It has space group Cmcm (No. 63), with a = 3.8137 Å, b = 12.0895 Å, c = 9.6816 Å, α = 90.00°, β = 90.00° and γ = 90.00°. The distinct sites, in fractional coordinates, are Sm at (0.0000, 0.1348, 0.0599), Tm at (0.0000, 0.4284, 0.2500) and Pd at (0.0000, 0.2605, 0.7500).

# 4
DFT (PBE) results for CuBO2F after structural relaxation.

Its theoretical density is 4257 kg/m³. Its density of states at the Fermi level is 2.316 states/eV/cell. As for the energy relative to the elements, uncorrected: -0.793 eV/atom.

It has space group P4/mmm (No. 123), with a = 3.0328 Å, b = 3.0328 Å, c = 5.3156 Å, α = 90.00°, β = 90.00° and γ = 90.00°. The distinct sites, in fractional coordinates, are Cu at (0.0000, 0.0000, 0.0000), B at (0.5000, 0.5000, 0.5000), O at (0.0000, 0.5000, 0.5000) and F at (0.5000, 0.5000, 0.0000).

# 5
DFT (PBE) results for AgRu2Au after structural relaxation.

Its theoretical density is 13145 kg/m³. Its density of states at the Fermi level is 21.013 states/eV/cell. For the distance to the lowest polymorph of the same formula, the calculation gives 0.4180 eV per atom. For the formation energy, the calculation gives 0.631 eV per atom.

It has space group F-43m (No. 216), with a = 6.3510 Å, b = 6.3510 Å, c = 6.3510 Å, α = 90.00°, β = 90.00° and γ = 90.00°. The distinct sites, in fractional coordinates, are Ag at (0.0000, 0.0000, 0.0000), Ru at (0.0000, 0.0000, 0.5000), Ru at (0.2500, 0.2500, 0.2500) and Au at (0.2500, 0.2500, 0.7500).

# 6
DFT (PBE) results for YCr2Se after structural relaxation.

Its theoretical density is 5702 kg/m³. Its density of states at the Fermi level is 5.929 states/eV/cell. As for the energy relative to the elements, uncorrected: 0.058 eV/atom.

It has space group Imm2 (No. 44), with a = 3.8066 Å, b = 4.7025 Å, c = 8.8453 Å, α = 90.00°, β = 90.00° and γ = 90.00°. The distinct sites, in fractional coordinates, are Y at (0.0000, 0.0000, 0.0000), Cr at (0.0000, 0.0000, 0.5281), Cr at (0.0000, 0.5000, 0.7801) and Se at (0.0000, 0.5000, 0.2385).

# 7
DFT (PBE) results for LaErAgSb after structural relaxation.

Its theoretical density is 8279 kg/m³. Its density of states at the Fermi level is 19.651 states/eV/cell. As for the energy relative to the elements, uncorrected: -0.566 eV/atom.

It has space group F-43m (No. 216), with a = 7.5470 Å, b = 7.5470 Å, c = 7.5470 Å, α = 90.00°, β = 90.00° and γ = 90.00°. The distinct sites, in fractional coordinates, are La at (0.0000, 0.0000, 0.0000), Er at (0.0000, 0.0000, 0.5000), Ag at (0.2500, 0.2500, 0.2500) and Sb at (0.2500, 0.2500, 0.7500).

# 8
DFT (PBE) results for RbSnI4 after structural relaxation.

Its theoretical density is 3479 kg/m³. As for the energy relative to the elements, uncorrected: -0.738 eV/atom. For the distance to the lowest polymorph of the same formula, the calculation gives 0.0000 eV per atom.

It has space group P2_1/c (No. 14), with a = 9.8980 Å, b = 13.4546 Å, c = 12.1324 Å, α = 90.00°, β = 122.75° and γ = 90.00°. The distinct sites, in fractional coordinates, are Rb at (0.1944, 0.1031, 0.3420), Sn at (0.3363, 0.7336, 0.1871), I at (0.1180, 0.5868, 0.5670), I at (0.2228, 0.5537, 0.2326), I at (0.3202, 0.2260, 0.1306) and I at (0.3453, 0.6569, 0.9641).

# 9
DFT (PBE) results for HoCr6Ge6 after structural relaxation.

Its theoretical density is 8107 kg/m³. Its density of states at the Fermi level is 11.716 states/eV/cell. For the formation energy, the calculation gives -0.209 eV per atom.

It has space group P6/mmm (No. 191), with a = 5.1004 Å, b = 5.1004 Å, c = 8.2984 Å, α = 90.00°, β = 90.00° and γ = 120.00°. The distinct sites, in fractional coordinates, are Ho at (0.0000, 0.0000, 0.0000), Cr at (0.0000, 0.5000, 0.2501), Ge at (0.0000, 0.0000, 0.3458), Ge at (0.3333, 0.6667, 0.0000) and Ge at (0.3333, 0.6667, 0.5000).

# 10
DFT (PBE) results for K2PmHoO4 after structural relaxation.

Its theoretical density is 5514 kg/m³. Its density of states at the Fermi level is 0.000 states/eV/cell. As for the energy relative to the elements, uncorrected: -2.707 eV/atom.

It has space group P2/m (No. 10), with a = 6.1282 Å, b = 3.5382 Å, c = 6.6013 Å, α = 90.00°, β = 107.98° and γ = 90.00°. The distinct sites, in fractional coordinates, are K at (0.0000, 0.0000, 0.0000), K at (0.5000, 0.5000, 0.0000), Pm at (0.0000, 0.5000, 0.5000), Ho at (0.5000, 0.0000, 0.5000), O at (0.2378, 0.0000, 0.6881) and O at (0.2789, 0.5000, 0.3139).

# 11
DFT (PBE) results for SmCu6Sn6 after structural relaxation.

Its theoretical density is 8312 kg/m³. Its density of states at the Fermi level is 6.940 states/eV/cell. For the formation energy, the calculation gives -0.096 eV per atom.

It has space group Immm (No. 71), with a = 5.6278 Å, b = 9.0451 Å, c = 9.7632 Å, α = 90.00°, β = 90.00° and γ = 90.00°. The distinct sites, in fractional coordinates, are Sm at (0.0000, 0.0000, 0.0000), Cu at (0.0000, 0.2516, 0.5000), Cu at (0.2500, 0.2500, 0.2500), Sn at (0.0000, 0.0000, 0.3346), Sn at (0.0000, 0.3399, 0.0000) and Sn at (0.0000, 0.5000, 0.3337).

# 12
DFT (PBE) results for In3H4Se after structural relaxation.

Its theoretical density is 5053 kg/m³. Its density of states at the Fermi level is 2.821 states/eV/cell. The total energy is -2.970 eV/atom.

It has space group Cm (No. 8), with a = 8.0435 Å, b = 3.9179 Å, c = 9.1538 Å, α = 90.00°, β = 103.11° and γ = 90.00°. The distinct sites, in fractional coordinates, are In at (0.0000, 0.0000, 0.0000), In at (0.0599, 0.5000, 0.7163), In at (0.3832, 0.0000, 0.3021), H at (0.0280, 0.5000, 0.9804), H at (0.2432, 0.0000, 0.1079), H at (0.2856, 0.5000, 0.8694), H at (0.4531, 0.5000, 0.1911) and Se at (0.2286, 0.5000, 0.4415).

# 13
DFT (PBE) results for Pm2HfSn after structural relaxation.

Its theoretical density is 9090 kg/m³. Its density of states at the Fermi level is 4.108 states/eV/cell. For the distance to the lowest polymorph of the same formula, the calculation gives 0.0000 eV per atom. For the formation energy, the calculation gives -0.241 eV per atom.

It has space group P4/mmm (No. 123), with a = 4.7557 Å, b = 4.7557 Å, c = 4.7431 Å, α = 90.00°, β = 90.00° and γ = 90.00°. The distinct sites, in fractional coordinates, are Pm at (0.0000, 0.5000, 0.0000), Hf at (0.0000, 0.0000, 0.5000) and Sn at (0.5000, 0.5000, 0.5000).

# 14
DFT (PBE) results for SmDyGePd after structural relaxation.

Its theoretical density is 8635 kg/m³. Its density of states at the Fermi level is 3.860 states/eV/cell. For the distance to the lowest polymorph of the same formula, the calculation gives 0.0000 eV per atom. For the formation energy, the calculation gives -0.867 eV per atom.

It has space group Amm2 (No. 38), with a = 4.3166 Å, b = 3.9949 Å, c = 10.9716 Å, α = 90.00°, β = 90.00° and γ = 90.00°. The distinct sites, in fractional coordinates, are Sm at (0.0000, 0.0000, 0.0000), Dy at (0.5000, 0.0000, 0.7225), Ge at (0.5000, 0.0000, 0.4397) and Pd at (0.0000, 0.0000, 0.2790).

# 15
DFT (PBE) results for Pu4HfPt3 after structural relaxation.

Its theoretical density is 16052 kg/m³. Its density of states at the Fermi level is 119.807 states/eV/cell. For the formation energy, the calculation gives -0.647 eV per atom.

It has space group I4/mcm (No. 140), with a = 11.1593 Å, b = 11.1593 Å, c = 5.7809 Å, α = 90.00°, β = 90.00° and γ = 90.00°. The distinct sites, in fractional coordinates, are Pu at (0.0891, 0.2203, 0.0000), Hf at (0.0000, 0.5000, 0.2500), Pt at (0.0000, 0.0000, 0.2500) and Pt at (0.1494, 0.3506, 0.5000).

# 16
DFT (PBE) results for CrCuPt4 after structural relaxation.

Its theoretical density is 14763 kg/m³. Its density of states at the Fermi level is 5.888 states/eV/cell. For the distance to the lowest polymorph of the same formula, the calculation gives 0.0000 eV per atom. For the formation energy, the calculation gives 0.050 eV per atom.

It has space group P4/mmm (No. 123), with a = 3.8591 Å, b = 3.8591 Å, c = 6.7663 Å, α = 90.00°, β = 90.00° and γ = 90.00°. The distinct sites, in fractional coordinates, are Cr at (0.0000, 0.0000, 0.0000), Cu at (0.5000, 0.5000, 0.5000) and Pt at (0.0000, 0.5000, 0.2446).

# 17
DFT (PBE) results for RbCdF3 after structural relaxation.

Its theoretical density is 4021 kg/m³. Its density of states at the Fermi level is 3.409 states/eV/cell. As for the energy relative to the elements, uncorrected: -1.758 eV/atom.

It has space group I-4m2 (No. 119), with a = 4.3648 Å, b = 4.3648 Å, c = 22.1001 Å, α = 90.00°, β = 90.00° and γ = 90.00°. The distinct sites, in fractional coordinates, are Rb at (0.0000, 0.0000, 0.0000), Rb at (0.0000, 0.5000, 0.2500), Cd at (0.0000, 0.5000, 0.6357), F at (0.0000, 0.0000, 0.3173) and F at (0.0000, 0.2501, 0.1113).

# 18
DFT (PBE) results for KSe2Br after structural relaxation.

Its theoretical density is 2977 kg/m³. Its density of states at the Fermi level is 0.944 states/eV/cell. As for the energy relative to the elements, uncorrected: -0.460 eV/atom. For the distance to the lowest polymorph of the same formula, the calculation gives 0.2290 eV per atom.

It has space group P4/mmm (No. 123), with a = 4.9867 Å, b = 4.9867 Å, c = 6.2106 Å, α = 90.00°, β = 90.00° and γ = 90.00°. The distinct sites, in fractional coordinates, are K at (0.0000, 0.0000, 0.0000), Se at (0.5000, 0.5000, 0.1805) and Br at (0.0000, 0.0000, 0.5000).

# 19
DFT (PBE) results for CeDy2Te after structural relaxation.

Its theoretical density is 8510 kg/m³. Its density of states at the Fermi level is 5.850 states/eV/cell. As for the energy relative to the elements, uncorrected: -0.519 eV/atom. For the distance to the lowest polymorph of the same formula, the calculation gives 0.0000 eV per atom.

It has space group P4/mmm (No. 123), with a = 3.8404 Å, b = 3.8404 Å, c = 7.8415 Å, α = 90.00°, β = 90.00° and γ = 90.00°. The distinct sites, in fractional coordinates, are Ce at (0.0000, 0.0000, 0.0000), Dy at (0.5000, 0.5000, 0.2751) and Te at (0.0000, 0.0000, 0.5000).

# 20
DFT (PBE) results for Pm3Sn4Au2 after structural relaxation.

Its theoretical density is 9189 kg/m³. Its density of states at the Fermi level is 7.446 states/eV/cell. For the distance to the lowest polymorph of the same formula, the calculation gives 0.0131 eV per atom. For the formation energy, the calculation gives -0.685 eV per atom.

It has space group C2/m (No. 12), with a = 11.6864 Å, b = 4.8088 Å, c = 9.0450 Å, α = 90.00°, β = 112.03° and γ = 90.00°. The distinct sites, in fractional coordinates, are Pm at (0.0000, 0.0000, 0.0000), Pm at (0.1741, 0.5000, 0.6586), Sn at (0.0750, 0.0000, 0.4049), Sn at (0.2066, 0.5000, 0.0622) and Au at (0.0445, 0.5000, 0.2387).

| no. | magnetic moment (μB per formula unit) |
| --- | --- |
| 1 | 0.0 |
| 2 | 0.0 |
| 3 | 0.0 |
| 4 | 0.3 |
| 5 | 0.2 |
| 6 | 0.1 |
| 7 | 0.0 |
| 8 | 0.0 |
| 9 | 0.0 |
| 10 | 0.0 |
| 11 | 0.0 |
| 12 | 0.0 |
| 13 | 0.0 |
| 14 | 0.0 |
| 15 | 22.9 |
| 16 | 1.8 |
| 17 | 0.1 |
| 18 | 2.0 |
| 19 | 0.6 |
| 20 | 0.0 |